The following is a meta-GGA SCAN calculation of FeHgTe2 at its PBEsol-relaxed geometry, from the Alexandria database.

Results
energy = -40.165 eV/atom
D(E_F) = 3.2 states/eV per cell
E_form (uncorrected) = 0.03 eV per atom
theoretical density = 9.1 Mg/m³

Cell lengths 3.665, 3.665, 8.310 Å; angles 77.26, 77.26, 60.00 degrees
Last column: magnetic moment on the atom in μB.
Fractional positions:
Te (0.775, 0.775, 0.675)  -0.02
Te (0.225, 0.225, 0.325)  -0.02
Fe (0.500, 0.500, 0.500)  1.34
Hg (0.000, 0.000, 0.000)  0.00

=====

The following is a meta-GGA SCAN calculation of Fe2HgTe at its PBEsol-relaxed geometry, from the Alexandria database.

Results
energy = -34.872 eV/atom
D(E_F) = 3.8 states/eV per cell
E_form (uncorrected) = 0.55 eV per atom
theoretical density = 11.4 Mg/m³
ΔE to the lowest computed polymorph = 0.012 eV per atom

Cell lengths 3.209, 4.468, 4.468 Å; angles 89.99, 90.01, 90.01 degrees
Last column: magnetic moment on the atom in μB.
Fractional positions:
Te (0.500, 0.500, 0.500)  -0.04
Hg (0.500, 0.000, 0.000)  -0.07
Fe (0.000, 0.500, 0.000)  2.78
Fe (0.000, 0.000, 0.500)  2.78

=====

The following is a meta-GGA SCAN calculation of FeHgTe2 at its PBEsol-relaxed geometry, from the Alexandria database.

Results
energy = -39.650 eV/atom
D(E_F) = 3.4 states/eV per cell
E_form (uncorrected) = 0.55 eV per atom
theoretical density = 9.5 Mg/m³

Cell lengths 3.590, 4.997, 4.997 Å; angles 90.00, 90.00, 90.00 degrees
Last column: magnetic moment on the atom in μB.
Fractional positions:
Te (0.000, 0.500, 0.000)  -0.03
Te (0.000, 0.000, 0.500)  -0.03
Hg (0.500, 0.000, 0.000)  0.04
Fe (0.500, 0.500, 0.500)  3.29

=====

> theoretical density of number 3 (FeHgTe2)?

9.5 Mg/m³

=====

Copy entry 3 word for word.
The following is a meta-GGA SCAN calculation of FeHgTe2 at its PBEsol-relaxed geometry, from the Alexandria database.

Results
energy = -39.650 eV/atom
D(E_F) = 3.4 states/eV per cell
E_form (uncorrected) = 0.55 eV per atom
theoretical density = 9.5 Mg/m³

Cell lengths 3.590, 4.997, 4.997 Å; angles 90.00, 90.00, 90.00 degrees
Last column: magnetic moment on the atom in μB.
Fractional positions:
Te (0.000, 0.500, 0.000)  -0.03
Te (0.000, 0.000, 0.500)  -0.03
Hg (0.500, 0.000, 0.000)  0.04
Fe (0.500, 0.500, 0.500)  3.29

=====

Copy entry 3 word for word.
The following is a meta-GGA SCAN calculation of FeHgTe2 at its PBEsol-relaxed geometry, from the Alexandria database.

Results
energy = -39.650 eV/atom
D(E_F) = 3.4 states/eV per cell
E_form (uncorrected) = 0.55 eV per atom
theoretical density = 9.5 Mg/m³

Cell lengths 3.590, 4.997, 4.997 Å; angles 90.00, 90.00, 90.00 degrees
Last column: magnetic moment on the atom in μB.
Fractional positions:
Te (0.000, 0.500, 0.000)  -0.03
Te (0.000, 0.000, 0.500)  -0.03
Hg (0.500, 0.000, 0.000)  0.04
Fe (0.500, 0.500, 0.500)  3.29

=====

> The highest energy belongs to which entry?

Fe2HgTe